(1)
# Si16Ge12P3Pt | OQMD via LeMat-Bulk | PBE | relaxed
data_Si16Ge12P3Pt
_chemical_formula_sum 'Si16 Ge12 P3 Pt1'
_space_group_name_H-M_alt 'P 1'
_space_group_IT_number 1
_cell_length_a 6.799
_cell_length_b 10.318
_cell_length_c 10.403
_cell_angle_alpha 81.25
_cell_angle_beta 71.17
_cell_angle_gamma 83.45
loop_
_space_group_symop_operation_xyz
'x,y,z'
loop_
_atom_site_label
_atom_site_type_symbol
_atom_site_fract_x
_atom_site_fract_y
_atom_site_fract_z
_atom_site_occupancy
Si1 Si 0.000 0.000 0.000 1
Si2 Si 0.000 0.498 0.510 1
Si3 Si 0.372 0.863 0.300 1
Si4 Si 0.373 0.977 0.920 1
Si5 Si 0.379 0.361 0.798 1
Si6 Si 0.380 0.738 0.675 1
Si7 Si 0.485 0.814 0.071 1
Si8 Si 0.488 0.943 0.688 1
Si9 Si 0.495 0.696 0.444 1
Si10 Si 0.496 0.563 0.814 1
Si11 Si 0.854 0.926 0.618 1
Si12 Si 0.863 0.042 0.234 1
Si13 Si 0.865 0.544 0.738 1
Si14 Si 0.873 0.419 0.120 1
Si15 Si 0.994 0.623 0.131 1
Si16 Si 0.998 0.883 0.382 1
Ge1 Ge 0.000 0.372 0.881 1
Ge2 Ge 0.001 0.748 0.749 1
Ge3 Ge 0.369 0.609 0.048 1
Ge4 Ge 0.375 0.487 0.436 1
Ge5 Ge 0.380 0.222 0.181 1
Ge6 Ge 0.484 0.292 0.576 1
Ge7 Ge 0.496 0.182 0.940 1
Ge8 Ge 0.498 0.435 0.199 1
Ge9 Ge 0.863 0.796 0.989 1
Ge10 Ge 0.864 0.293 0.504 1
Ge11 Ge 0.873 0.673 0.367 1
Ge12 Ge 0.992 0.240 0.264 1
P1 P 0.503 0.051 0.321 1
P2 P 0.873 0.164 0.859 1
P3 P 0.999 0.113 0.634 1
Pt1 Pt 0.351 0.095 0.542 1
# Energy ... -5.13 eV/atom
# Theoretical density ... 3.9 Mg/m³
# Volume ... 21.28 Å³ per atom
# M_tot ... 0.49 μB per formula unit


(2)
# BeCuGePt | OQMD via LeMat-Bulk | PBE | relaxed
data_BeCuGePt
_chemical_formula_sum 'Be4 Cu4 Ge4 Pt4'
_space_group_name_H-M_alt 'F -4 3 m'
_space_group_IT_number 216
_space_group_name_Hall 'F -4 2 3'
_cell_length_a 5.945
_cell_length_b 5.945
_cell_length_c 5.945
_cell_angle_alpha 90.00
_cell_angle_beta 90.00
_cell_angle_gamma 90.00
loop_
_atom_site_label
_atom_site_type_symbol
_atom_site_fract_x
_atom_site_fract_y
_atom_site_fract_z
_atom_site_occupancy
Be1 Be 0.000 0.000 0.000 1
Cu1 Cu 0.250 0.250 0.750 1
Ge1 Ge 0.000 0.000 0.500 1
Pt1 Pt 0.250 0.250 0.250 1
# Energy ... -4.69 eV/atom
# Theoretical density ... 10.8 Mg/m³
# Volume ... 13.13 Å³ per atom
# Energy above the lowest structure with this stoichiometry ... 0.0 meV/atom
# M_tot ... 0.00 μB per formula unit


(3)
# ZnCoBr6 | OQMD via LeMat-Bulk | PBE | relaxed
data_ZnCoBr6
_chemical_formula_sum 'Zn3 Co3 Br18'
_space_group_name_H-M_alt 'R -3'
_space_group_IT_number 148
_space_group_name_Hall '-R 3'
_cell_length_a 6.3616
_cell_length_b 6.3616
_cell_length_c 16.8311
_cell_angle_alpha 90.00
_cell_angle_beta 90.00
_cell_angle_gamma 120.00
loop_
_atom_site_label
_atom_site_type_symbol
_atom_site_fract_x
_atom_site_fract_y
_atom_site_fract_z
_atom_site_occupancy
Zn1 Zn 0.0000 0.0000 0.0000 1
Co1 Co 0.0000 0.0000 0.5000 1
Br1 Br 0.0071 0.6903 0.4191 1
# Energy ... -2.59 eV/atom
# Theoretical density ... 5.1 Mg/m³
# Volume ... 24.58 Å³ per atom
# M_tot ... 1.00 μB per formula unit


(4)
# PaPt | OQMD via LeMat-Bulk | PBE | relaxed
data_PaPt
_chemical_formula_sum 'Pa1 Pt1'
_space_group_name_H-M_alt 'P -6 m 2'
_space_group_IT_number 187
_space_group_name_Hall 'P -6 2'
_cell_length_a 3.7377
_cell_length_b 3.7377
_cell_length_c 3.8968
_cell_angle_alpha 90.00
_cell_angle_beta 90.00
_cell_angle_gamma 120.00
loop_
_atom_site_label
_atom_site_type_symbol
_atom_site_fract_x
_atom_site_fract_y
_atom_site_fract_z
_atom_site_occupancy
Pa1 Pa 0.0000 0.0000 0.0000 1
Pt1 Pt 0.6667 0.3333 0.5000 1
# Energy ... -8.47 eV/atom
# Theoretical density ... 15.0 Mg/m³
# ΔH_f (0 K) ... -0.696 eV/atom
# Volume ... 23.57 Å³ per atom
# M_tot ... 0.06 μB per formula unit


(5)
# NbTcBiAu | OQMD via LeMat-Bulk | PBE | relaxed
data_NbTcBiAu
_chemical_formula_sum 'Nb4 Tc4 Bi4 Au4'
_space_group_name_H-M_alt 'F -4 3 m'
_space_group_IT_number 216
_space_group_name_Hall 'F -4 2 3'
_cell_length_a 6.665
_cell_length_b 6.665
_cell_length_c 6.665
_cell_angle_alpha 90.00
_cell_angle_beta 90.00
_cell_angle_gamma 90.00
loop_
_atom_site_label
_atom_site_type_symbol
_atom_site_fract_x
_atom_site_fract_y
_atom_site_fract_z
_atom_site_occupancy
Nb1 Nb 0.000 0.000 0.000 1
Tc1 Tc 0.000 0.000 0.500 1
Bi1 Bi 0.250 0.250 0.250 1
Au1 Au 0.250 0.250 0.750 1
# Energy ... -6.57 eV/atom
# Theoretical density ... 13.4 Mg/m³
# Volume ... 18.51 Å³ per atom
# Energy above the lowest structure with this stoichiometry ... 0.0 meV/atom
# M_tot ... 0.00 μB per formula unit


(6)
# Pm2Ge2O5 | OQMD via LeMat-Bulk | PBE | relaxed
data_Pm2Ge2O5
_chemical_formula_sum 'Pm2 Ge2 O5'
_space_group_name_H-M_alt 'P 4/m m m'
_space_group_IT_number 123
_space_group_name_Hall '-P 4 2'
_cell_length_a 3.674
_cell_length_b 3.674
_cell_length_c 9.679
_cell_angle_alpha 90.00
_cell_angle_beta 90.00
_cell_angle_gamma 90.00
loop_
_atom_site_label
_atom_site_type_symbol
_atom_site_fract_x
_atom_site_fract_y
_atom_site_fract_z
_atom_site_occupancy
Pm1 Pm 0.000 0.000 0.245 1
Ge1 Ge 0.500 0.500 0.000 1
Ge2 Ge 0.500 0.500 0.500 1
O1 O 0.000 0.000 0.000 1
O2 O 0.000 0.500 0.377 1
# Energy ... -6.61 eV/atom
# Theoretical density ... 6.5 Mg/m³
# Volume ... 14.52 Å³ per atom
# Energy above the lowest structure with this stoichiometry ... 214.1 meV/atom
# M_tot ... 0.00 μB per formula unit


(7)
# SrMgCoSb | OQMD via LeMat-Bulk | PBE | relaxed
data_SrMgCoSb
_chemical_formula_sum 'Sr4 Mg4 Co4 Sb4'
_space_group_name_H-M_alt 'F -4 3 m'
_space_group_IT_number 216
_space_group_name_Hall 'F -4 2 3'
_cell_length_a 7.012
_cell_length_b 7.012
_cell_length_c 7.012
_cell_angle_alpha 90.00
_cell_angle_beta 90.00
_cell_angle_gamma 90.00
loop_
_atom_site_label
_atom_site_type_symbol
_atom_site_fract_x
_atom_site_fract_y
_atom_site_fract_z
_atom_site_occupancy
Sr1 Sr 0.000 0.000 0.000 1
Mg1 Mg 0.250 0.250 0.750 1
Co1 Co 0.000 0.000 0.500 1
Sb1 Sb 0.250 0.250 0.250 1
# Energy ... -3.49 eV/atom
# Theoretical density ... 5.6 Mg/m³
# Volume ... 21.55 Å³ per atom
# Energy above the lowest structure with this stoichiometry ... 24.4 meV/atom
# M_tot ... 0.19 μB per formula unit


(8)
# TmNpAu | OQMD via LeMat-Bulk | PBE | relaxed
data_TmNpAu
_chemical_formula_sum 'Tm4 Np4 Au4'
_space_group_name_H-M_alt 'F -4 3 m'
_space_group_IT_number 216
_space_group_name_Hall 'F -4 2 3'
_cell_length_a 6.812
_cell_length_b 6.812
_cell_length_c 6.812
_cell_angle_alpha 90.00
_cell_angle_beta 90.00
_cell_angle_gamma 90.00
loop_
_atom_site_label
_atom_site_type_symbol
_atom_site_fract_x
_atom_site_fract_y
_atom_site_fract_z
_atom_site_occupancy
Tm1 Tm 0.000 0.000 0.000 1
Np1 Np 0.250 0.250 0.250 1
Au1 Au 0.250 0.250 0.750 1
# Energy ... -6.30 eV/atom
# Theoretical density ... 12.7 Mg/m³
# ΔH_f (0 K) ... 0.537 eV/atom
# Volume ... 26.35 Å³ per atom
# M_tot ... 4.55 μB per formula unit


(9)
# ZnCoCuW | OQMD via LeMat-Bulk | PBE | relaxed
data_ZnCoCuW
_chemical_formula_sum 'Zn4 Co4 Cu4 W4'
_space_group_name_H-M_alt 'F -4 3 m'
_space_group_IT_number 216
_space_group_name_Hall 'F -4 2 3'
_cell_length_a 5.902
_cell_length_b 5.902
_cell_length_c 5.902
_cell_angle_alpha 90.00
_cell_angle_beta 90.00
_cell_angle_gamma 90.00
loop_
_atom_site_label
_atom_site_type_symbol
_atom_site_fract_x
_atom_site_fract_y
_atom_site_fract_z
_atom_site_occupancy
Zn1 Zn 0.000 0.000 0.000 1
Co1 Co 0.250 0.250 0.250 1
Cu1 Cu 0.000 0.000 0.500 1
W1 W 0.250 0.250 0.750 1
# Energy ... -5.82 eV/atom
# Theoretical density ... 12.0 Mg/m³
# ΔH_f (0 K) ... 0.439 eV/atom
# Volume ... 12.85 Å³ per atom
# Energy above the lowest structure with this stoichiometry ... 261.3 meV/atom
# M_tot ... 0.27 μB per formula unit


(10)
# Au6BrCl | OQMD via LeMat-Bulk | PBE | relaxed
data_Au6BrCl
_chemical_formula_sum 'Au24 Br4 Cl4'
_space_group_name_H-M_alt 'F -4 3 m'
_space_group_IT_number 216
_space_group_name_Hall 'F -4 2 3'
_cell_length_a 9.341
_cell_length_b 9.341
_cell_length_c 9.341
_cell_angle_alpha 90.00
_cell_angle_beta 90.00
_cell_angle_gamma 90.00
loop_
_atom_site_label
_atom_site_type_symbol
_atom_site_fract_x
_atom_site_fract_y
_atom_site_fract_z
_atom_site_occupancy
Au1 Au 0.000 0.000 0.212 1
Br1 Br 0.250 0.250 0.750 1
Cl1 Cl 0.000 0.000 0.500 1
# Energy ... -2.41 eV/atom
# Theoretical density ... 10.6 Mg/m³
# Volume ... 25.47 Å³ per atom